Entry 1:
Crystalline KCo2Ag at its relaxed geometry, computed with PBE.

The structure belongs to space group C2/m (No. 12); the cell edges are 5.6255, 10.0437 and 2.6744 Å and the angles 90.00°, 111.49° and 90.00°. The asymmetric unit holds K at (0.0000, 0.0000, 0.0000), Co at (0.2500, 0.2500, 0.5000) and Ag at (0.0000, 0.5000, 0.0000).

The total magnetization comes out at 3.24 μB per formula unit. Its formation energy is 382 kJ/mol of formula units.

=====

Entry 2:
Crystalline KCoAg at its relaxed geometry, computed with PBE.

The structure belongs to space group F-43m (No. 216); the cell edges are 6.8820, 6.8820 and 6.8820 Å and the angles 90.00°, 90.00° and 90.00°. The asymmetric unit holds K at (0.0000, 0.0000, 0.0000), Co at (0.2500, 0.2500, 0.7500) and Ag at (0.0000, 0.0000, 0.5000).

The total magnetization comes out at 2.04 μB per formula unit. Its formation energy is 311 kJ/mol of formula units.

=====

Entry 3:
Crystalline KCoAg2 at its relaxed geometry, computed with PBE.

The structure belongs to space group Pmm2 (No. 25); the cell edges are 2.8200, 4.2333 and 7.4519 Å and the angles 90.00°, 90.00° and 90.00°. The asymmetric unit holds K at (0.0000, 0.0000, 0.0000), Co at (0.5000, 0.5000, 0.6735), Ag at (0.0000, 0.0000, 0.5456) and Ag at (0.5000, 0.5000, 0.3247).

The total magnetization comes out at 1.71 μB per formula unit. Its formation energy is 206 kJ/mol of formula units.

=====

Entry 4:
Crystalline KCo2Ag at its relaxed geometry, computed with PBE.

The structure belongs to space group P4mm (No. 99); the cell edges are 3.0273, 3.0273 and 8.1588 Å and the angles 90.00°, 90.00° and 90.00°. The asymmetric unit holds K at (0.0000, 0.0000, 0.0000), Co at (0.0000, 0.0000, 0.5628), Co at (0.5000, 0.5000, 0.6822) and Ag at (0.5000, 0.5000, 0.3427).

The total magnetization comes out at 3.16 μB per formula unit. Its formation energy is 196 kJ/mol of formula units.

=====

Entry 5:
Crystalline KCo2Ag at its relaxed geometry, computed with PBE.

The structure belongs to space group Fm-3m (No. 225); the cell edges are 6.6382, 6.6382 and 6.6382 Å and the angles 90.00°, 90.00° and 90.00°. The asymmetric unit holds K at (0.0000, 0.0000, 0.0000), Co at (0.2500, 0.2500, 0.2500) and Ag at (0.0000, 0.0000, 0.5000).

The total magnetization comes out at 3.34 μB per formula unit. Its formation energy is 485 kJ/mol of formula units.

=====

Entry 6:
Crystalline K2CoAg at its relaxed geometry, computed with PBE.

The structure belongs to space group P2/m (No. 10); the cell edges are 4.0137, 4.0929 and 8.1237 Å and the angles 90.00°, 90.45° and 90.00°. The asymmetric unit holds K at (0.0024, 0.0000, 0.2498), Co at (0.5000, 0.5000, 0.5000) and Ag at (0.5000, 0.5000, 0.0000).

The total magnetization comes out at 2.02 μB per formula unit. Its formation energy is 296 kJ/mol of formula units.

=====

Entry 7:
Crystalline K2CoAg at its relaxed geometry, computed with PBE.

The structure belongs to space group Pmm2 (No. 25); the cell edges are 3.3049, 3.9576 and 9.8985 Å and the angles 90.00°, 90.00° and 90.00°. The asymmetric unit holds K at (0.0000, 0.0000, 0.0000), K at (0.5000, 0.5000, 0.4225), Co at (0.5000, 0.5000, 0.7396) and Ag at (0.0000, 0.0000, 0.6766).

The total magnetization comes out at 1.66 μB per formula unit. Its formation energy is 220 kJ/mol of formula units.

=====

Entry 8:
Crystalline KCo2Ag at its relaxed geometry, computed with PBE.

The structure belongs to space group C2/m (No. 12); the cell edges are 8.4828, 3.9438 and 6.1718 Å and the angles 90.00°, 109.06° and 90.00°. The asymmetric unit holds K at (0.0000, 0.0000, 0.0000), Co at (0.2086, 0.0000, 0.5540) and Ag at (0.0000, 0.5000, 0.5000).

The total magnetization comes out at 3.33 μB per formula unit. Its formation energy is 249 kJ/mol of formula units.

=====

Entry 9:
Crystalline KCoAg2 at its relaxed geometry, computed with PBE.

The structure belongs to space group C2/m (No. 12); the cell edges are 8.6945, 2.8728 and 7.2662 Å and the angles 90.00°, 95.15° and 90.00°. The asymmetric unit holds K at (0.0000, 0.0000, 0.0000), Co at (0.0000, 0.5000, 0.5000) and Ag at (0.2348, 0.0000, 0.6675).

The total magnetization comes out at 1.79 μB per formula unit. Its formation energy is 199 kJ/mol of formula units.

=====

Entry 10:
Crystalline KCoAg2 at its relaxed geometry, computed with PBE.

The structure belongs to space group Immm (No. 71); the cell edges are 2.8179, 5.5127 and 11.0058 Å and the angles 90.00°, 90.00° and 90.00°. The asymmetric unit holds K at (0.0000, 0.0000, 0.0000), Co at (0.0000, 0.0000, 0.5000) and Ag at (0.0000, 0.5000, 0.2052).

The total magnetization comes out at 1.64 μB per formula unit. Its formation energy is 222 kJ/mol of formula units.

=====

Entry 11:
Crystalline KCoAg2 at its relaxed geometry, computed with PBE.

The structure belongs to space group I-4m2 (No. 119); the cell edges are 4.2526, 4.2526 and 9.1604 Å and the angles 90.00°, 90.00° and 90.00°. The asymmetric unit holds K at (0.0000, 0.0000, 0.0000), Co at (0.0000, 0.5000, 0.2500), Ag at (0.0000, 0.0000, 0.5000) and Ag at (0.0000, 0.5000, 0.7500).

The total magnetization comes out at 1.66 μB per formula unit. Its formation energy is 299 kJ/mol of formula units.

=====

Entry 12:
Crystalline KCo2Ag at its relaxed geometry, computed with PBE.

The structure belongs to space group P4/mmm (No. 123); the cell edges are 3.4178, 3.4178 and 7.3320 Å and the angles 90.00°, 90.00° and 90.00°. The asymmetric unit holds K at (0.0000, 0.0000, 0.0000), Co at (0.5000, 0.5000, 0.3512) and Ag at (0.0000, 0.0000, 0.5000).

The total magnetization comes out at 3.57 μB per formula unit. Its formation energy is 332 kJ/mol of formula units.

=====

> Which value of formation energy does entry 4 give?

196 kJ/mol of formula units

=====

> What is the formation energy in the third record?

206 kJ/mol of formula units

=====

> The highest formation energy belongs to which entry?

number 5

=====

> Which of these has the highest formation energy?

number 5